Record 1
The following is a DFT calculation (SCAN) of Li3ZrNb at its PBEsol-relaxed geometry.

Cell: 4.496 4.496 4.496 Å, 90.00 90.00 90.00°
Positions (direct):
Zr: 0.000 0.000 0.000
Li: 0.000 0.000 0.500
Li: 0.000 0.500 0.000
Li: 0.500 0.000 0.000
Nb: 0.500 0.500 0.500

Summary:
The calculation puts the formation energy at 1.593 eV/atom. Its energy is -63.03 eV/cell.

Record 2
The following is a DFT calculation (SCAN) of Sr4AsRu at its PBEsol-relaxed geometry.

Cell: 6.275 6.275 6.275 Å, 60.00 60.00 60.00°
Positions (direct):
Sr: 0.375 0.875 0.375
Sr: 0.375 0.375 0.875
Sr: 0.875 0.375 0.375
Sr: 0.375 0.375 0.375
Ru: 0.000 0.000 0.000
As: 0.750 0.750 0.750

Summary:
The calculation puts the formation energy at 0.912 eV/atom. Its energy is -138.65 eV/cell.

Record 3
The following is a DFT calculation (SCAN) of LuGaPd at its PBEsol-relaxed geometry.

Cell: 4.354 6.669 7.487 Å, 90.00 90.00 90.00°
Positions (direct):
Ga: 0.250 0.323 0.425
Ga: 0.750 0.177 0.925
Ga: 0.750 0.677 0.575
Ga: 0.250 0.823 0.075
Lu: 0.250 0.484 0.801
Lu: 0.250 0.984 0.699
Lu: 0.750 0.016 0.301
Lu: 0.750 0.516 0.199
Pd: 0.750 0.277 0.597
Pd: 0.250 0.223 0.097
Pd: 0.750 0.777 0.903
Pd: 0.250 0.723 0.403

Summary:
The calculation puts the formation energy at -1.021 eV/atom. Its energy is -430.12 eV/cell.

Record 4
The following is a DFT calculation (SCAN) of Sc2TlSnBi at its PBEsol-relaxed geometry.

Cell: 5.370 5.370 5.401 Å, 90.00 90.00 90.00°
Positions (direct):
Sn: 0.000 0.000 0.500
Sc: 0.000 0.500 0.000
Sc: 0.500 0.000 0.000
Tl: 0.000 0.000 0.000
Bi: 0.500 0.500 0.500

Summary:
The calculation puts the formation energy at 0.306 eV/atom. Its energy is -213.80 eV/cell.

Record 5
The following is a DFT calculation (SCAN) of DyFeB4 at its PBEsol-relaxed geometry.

Cell: 3.324 5.853 11.328 Å, 90.00 90.00 90.00°
Positions (direct):
B: 0.500 0.139 0.968
B: 0.500 0.782 0.184
B: 0.500 0.024 0.690
B: 0.500 0.611 0.954
B: 0.500 0.976 0.310
B: 0.500 0.218 0.816
B: 0.500 0.889 0.454
B: 0.500 0.361 0.468
B: 0.500 0.861 0.032
B: 0.500 0.639 0.532
B: 0.500 0.718 0.684
B: 0.500 0.476 0.190
B: 0.500 0.282 0.316
B: 0.500 0.389 0.046
B: 0.500 0.524 0.810
B: 0.500 0.111 0.546
Fe: 0.000 0.868 0.588
Fe: 0.000 0.368 0.912
Fe: 0.000 0.132 0.412
Fe: 0.000 0.632 0.088
Dy: 0.000 0.127 0.150
Dy: 0.000 0.373 0.650
Dy: 0.000 0.873 0.850
Dy: 0.000 0.627 0.350

Summary:
The calculation puts the formation energy at -0.630 eV/atom. Its energy is -397.69 eV/cell.

Record 6
The following is a DFT calculation (SCAN) of CuRe2BRh at its PBEsol-relaxed geometry.

Cell: 4.478 4.590 4.590 Å, 90.00 90.00 90.00°
Positions (direct):
Cu: 0.500 0.000 0.000
Re: 0.000 0.000 0.500
Re: 0.000 0.500 0.000
Rh: 0.000 0.000 0.000
B: 0.500 0.500 0.500

Summary:
The calculation puts the formation energy at 2.808 eV/atom. Its energy is -184.56 eV/cell.

Record 7
The following is a DFT calculation (SCAN) of LiAlAg at its PBEsol-relaxed geometry.

Cell: 3.228 3.228 4.890 Å, 109.27 109.27 90.00°
Positions (direct):
Li: 0.664 0.664 0.327
Ag: 0.004 0.004 0.007
Al: 0.333 0.333 0.665

Summary:
The calculation puts the formation energy at -0.230 eV/atom. Its energy is -42.20 eV/cell.

Record 8
The following is a DFT calculation (SCAN) of LiY2Ga at its PBEsol-relaxed geometry.

Cell: 5.036 5.036 5.036 Å, 60.00 60.00 60.00°
Positions (direct):
Y: 0.250 0.250 0.250
Y: 0.750 0.750 0.750
Ga: 0.500 0.500 0.500
Li: 0.000 0.000 0.000

Summary:
The calculation puts the formation energy at -0.399 eV/atom. Its energy is -76.02 eV/cell.

Record 9
The following is a DFT calculation (SCAN) of ScSn3Os at its PBEsol-relaxed geometry.

Cell: 5.230 5.230 5.230 Å, 90.00 90.00 90.00°
Positions (direct):
Sn: 0.000 0.000 0.500
Sn: 0.000 0.500 0.000
Sn: 0.500 0.000 0.000
Os: 0.500 0.500 0.500
Sc: 0.000 0.000 0.000

Summary:
The calculation puts the formation energy at 1.560 eV/atom. Its energy is -186.08 eV/cell.

Record 10
The following is a DFT calculation (SCAN) of CaMg14NiO16 at its PBEsol-relaxed geometry.

Cell: 4.275 8.465 8.521 Å, 90.00 90.00 90.00°
Positions (direct):
O: 0.500 0.750 0.249
O: 0.500 0.250 0.249
O: 0.000 0.748 0.500
O: 0.000 0.252 0.500
O: 0.500 0.500 0.500
O: 0.500 0.000 0.000
O: 0.500 0.500 0.000
O: 0.000 0.000 0.737
O: 0.000 0.500 0.254
O: 0.000 0.265 0.000
O: 0.000 0.735 0.000
O: 0.500 0.250 0.751
O: 0.500 0.750 0.751
O: 0.000 0.000 0.263
O: 0.500 0.000 0.500
O: 0.000 0.500 0.746
Mg: 0.500 0.743 0.000
Mg: 0.000 0.000 0.500
Mg: 0.500 0.251 0.500
Mg: 0.500 0.749 0.500
Mg: 0.500 0.500 0.751
Mg: 0.500 0.500 0.249
Mg: 0.500 0.000 0.745
Mg: 0.000 0.746 0.252
Mg: 0.000 0.500 0.500
Mg: 0.000 0.746 0.748
Mg: 0.000 0.254 0.748
Mg: 0.500 0.257 0.000
Mg: 0.500 0.000 0.255
Mg: 0.000 0.254 0.252
Ni: 0.000 0.500 0.000
Ca: 0.000 0.000 0.000

Summary:
The energy relative to the elements, uncorrected is -2.8863 eV/atom. Its energy is -287.53 eV/cell.

Record 11
The following is a DFT calculation (SCAN) of Y3MnCr at its PBEsol-relaxed geometry.

Cell: 5.053 5.053 5.053 Å, 90.00 90.00 90.00°
Positions (direct):
Y: 0.000 0.000 0.500
Y: 0.500 0.000 0.000
Y: 0.000 0.500 0.000
Mn: 0.500 0.500 0.500
Cr: 0.000 0.000 0.000

Summary:
The calculation puts the formation energy at 0.535 eV/atom. Its energy is -117.49 eV/cell.

Record 12
The following is a DFT calculation (SCAN) of SrTaNbCr2 at its PBEsol-relaxed geometry.

Cell: 4.861 4.861 4.930 Å, 90.00 90.00 90.00°
Positions (direct):
Cr: 0.500 0.000 0.000
Cr: 0.000 0.500 0.000
Sr: 0.500 0.500 0.500
Nb: 0.000 0.000 0.500
Ta: 0.000 0.000 0.000

Summary:
The calculation puts the formation energy at 0.998 eV/atom. Its energy is -153.77 eV/cell.

Record 13
The following is a DFT calculation (SCAN) of TeRh3Au at its PBEsol-relaxed geometry.

Cell: 4.715 4.715 4.715 Å, 90.00 90.00 90.00°
Positions (direct):
Au: 0.500 0.500 0.500
Te: 0.000 0.000 0.000
Rh: 0.000 0.000 0.500
Rh: 0.500 0.000 0.000
Rh: 0.000 0.500 0.000

Summary:
The energy relative to the elements, uncorrected is 0.9684 eV/atom. Its energy is -202.88 eV/cell.